A geometry-optimized SmY2Sn structure. Source: Alexandria via LeMat-Bulk, functional PBE.

Values from the calculation:
Formation enthalpy at 0 K: -0.31 eV/atom
Theoretical density: 6.1 Mg/m³
Energy relative to the lowest polymorph listed for this composition: 110.2 meV per atom

a b c (Å): 5.461 12.812 6.955
angles (deg): 90.00 90.00 90.00
Space group Cmcm (No. 63)
Unique sites:
Sm (0.000, 0.068, 0.250)
Y (0.000, 0.367, 0.020)
Sn (0.000, 0.175, 0.750)